# Rb3TiGe2O8

An optimized crystal structure of Rb3TiGe2O8 (PBE, Alexandria via LeMat-Bulk).

Results
* raw total energy: -6.1314 eV per atom
* E_form (uncorrected): -1.867 eV/atom
* theoretical density: 4.2 Mg/m³

```
Rb3TiGe2O8
1.0
5.7337 0.0000 0.0000
-2.8668 4.9655 0.0000
0.0000 0.0000 8.1095
Rb Ti Ge O
3 1 2 8
direct
0.0000 0.0000 0.0000
0.3333 0.6667 0.7385
0.6667 0.3333 0.2615
0.0000 0.0000 0.5000
0.3333 0.6667 0.2918
0.6667 0.3333 0.7082
0.1628 0.3256 0.3591
0.1628 0.8372 0.3591
0.3256 0.1628 0.6409
0.3333 0.6667 0.0760
0.6667 0.3333 0.9240
0.6744 0.8372 0.3591
0.8372 0.1628 0.6409
0.8372 0.6744 0.6409
```